Record 1
# PBEsol Na2LaAs2, relaxed
data_Na2LaAs2
_symmetry_space_group_name_H-M 'P 1'
_symmetry_Int_Tables_number 1
_cell_length_a 8.418
_cell_length_b 8.418
_cell_length_c 3.474
_cell_angle_alpha 90.00
_cell_angle_beta 90.00
_cell_angle_gamma 90.00
loop_
_symmetry_equiv_pos_as_xyz
'x,y,z'
loop_
_atom_site_label
_atom_site_fract_x
_atom_site_fract_y
_atom_site_fract_z
_atom_site_occupancy
Na1 0.119 0.381 0.000 1
Na2 0.381 0.881 0.000 1
Na3 0.619 0.119 0.000 1
Na4 0.881 0.619 0.000 1
La1 0.000 0.000 0.500 1
La2 0.500 0.500 0.500 1
As1 0.181 0.681 0.500 1
As2 0.319 0.181 0.500 1
As3 0.681 0.819 0.500 1
As4 0.819 0.319 0.500 1
# - ΔE_f: -41.8 kJ per mole of atoms
# - Space group: No. 127


Record 2
# PBEsol Mn2SiCl, relaxed
data_Mn2SiCl
_symmetry_space_group_name_H-M 'P 1'
_symmetry_Int_Tables_number 1
_cell_length_a 7.052
_cell_length_b 7.052
_cell_length_c 7.052
_cell_angle_alpha 26.60
_cell_angle_beta 26.60
_cell_angle_gamma 26.60
loop_
_symmetry_equiv_pos_as_xyz
'x,y,z'
loop_
_atom_site_label
_atom_site_fract_x
_atom_site_fract_y
_atom_site_fract_z
_atom_site_occupancy
Mn1 0.241 0.241 0.241 1
Mn2 0.759 0.759 0.759 1
Si1 0.500 0.500 0.500 1
Cl1 0.000 0.000 0.000 1
# - Relative energy among the computed polymorphs: 0 meV per atom
# - Space group: No. 166


Record 3
# PBEsol GaTe2CN, relaxed
data_GaTe2CN
_symmetry_space_group_name_H-M 'P 1'
_symmetry_Int_Tables_number 1
_cell_length_a 6.326
_cell_length_b 6.326
_cell_length_c 2.614
_cell_angle_alpha 90.00
_cell_angle_beta 90.00
_cell_angle_gamma 90.00
loop_
_symmetry_equiv_pos_as_xyz
'x,y,z'
loop_
_atom_site_label
_atom_site_fract_x
_atom_site_fract_y
_atom_site_fract_z
_atom_site_occupancy
Ga1 0.000 0.000 0.000 1
Te1 0.000 0.500 0.500 1
Te2 0.500 0.000 0.500 1
C1 0.500 0.500 0.500 1
N1 0.500 0.500 0.000 1
# - Space group: No. 123


Record 4
# PBEsol Cs2TlPd, relaxed
data_Cs2TlPd
_symmetry_space_group_name_H-M 'P 1'
_symmetry_Int_Tables_number 1
_cell_length_a 9.144
_cell_length_b 9.144
_cell_length_c 9.144
_cell_angle_alpha 94.76
_cell_angle_beta 94.76
_cell_angle_gamma 146.52
loop_
_symmetry_equiv_pos_as_xyz
'x,y,z'
loop_
_atom_site_label
_atom_site_fract_x
_atom_site_fract_y
_atom_site_fract_z
_atom_site_occupancy
Cs1 0.375 0.034 0.159 1
Cs2 0.784 0.625 0.659 1
Cs3 0.875 0.216 0.841 1
Cs4 0.966 0.125 0.341 1
Tl1 0.250 0.750 0.500 1
Tl2 0.500 0.500 0.000 1
Pd1 0.000 0.000 0.000 1
Pd2 0.750 0.250 0.500 1
# - ΔE_f: 2.1 kJ per mole of atoms
# - Space group: No. 122


Record 5
# PBEsol KSr2P, relaxed
data_KSr2P
_symmetry_space_group_name_H-M 'P 1'
_symmetry_Int_Tables_number 1
_cell_length_a 4.415
_cell_length_b 4.415
_cell_length_c 11.471
_cell_angle_alpha 100.97
_cell_angle_beta 100.97
_cell_angle_gamma 59.99
loop_
_symmetry_equiv_pos_as_xyz
'x,y,z'
loop_
_atom_site_label
_atom_site_fract_x
_atom_site_fract_y
_atom_site_fract_z
_atom_site_occupancy
K1 0.000 0.000 0.000 1
Sr1 0.213 0.213 0.639 1
Sr2 0.787 0.787 0.361 1
P1 0.500 0.500 0.500 1
# - ΔE_f: -59.0 kJ per mole of atoms
# - Space group: No. 12


Record 6
# PBEsol MnCu3O, relaxed
data_MnCu3O
_symmetry_space_group_name_H-M 'P 1'
_symmetry_Int_Tables_number 1
_cell_length_a 4.372
_cell_length_b 4.372
_cell_length_c 4.372
_cell_angle_alpha 90.00
_cell_angle_beta 90.00
_cell_angle_gamma 90.00
loop_
_symmetry_equiv_pos_as_xyz
'x,y,z'
loop_
_atom_site_label
_atom_site_fract_x
_atom_site_fract_y
_atom_site_fract_z
_atom_site_occupancy
Mn1 0.000 0.000 0.000 1
Cu1 0.000 0.000 0.500 1
Cu2 0.000 0.500 0.000 1
Cu3 0.500 0.000 0.000 1
O1 0.500 0.500 0.500 1
# - Space group: No. 221


| no. | Fermi-level density of states (states/eV per cell) | E (eV per atom) |
| --- | --- | --- |
| 1 | 6.4 | -4.105 |
| 2 | 1.9 | -6.749 |
| 3 | 1.3 | -4.976 |
| 4 | 4.5 | -2.597 |
| 5 | 2.5 | -3.263 |
| 6 | 3.4 | -3.910 |